[1]
## Rb3CaRe2O8 (PBE)

Data for Rb3CaRe2O8 after structural relaxation.

Calculated values
Fermi-level density of states (states/eV/atom): 0.568
M_tot (μB per formula unit): 3.00
Space-group type: No. 164
Formation energy without anion corrections (eV per atom): -1.820
Density (Mg/m³): 4.91

The structure in POSCAR format:
```
Rb3CaRe2O8
1.0
6.213 0.000 0.000
-3.106 5.381 0.000
0.000 0.000 8.066
Rb Ca Re O
3 1 2 8
direct
0.000 0.000 0.000 Rb
0.333 0.667 0.669 Rb
0.667 0.333 0.331 Rb
0.000 0.000 0.500 Ca
0.333 0.667 0.231 Re
0.667 0.333 0.769 Re
0.176 0.351 0.323 O
0.176 0.824 0.323 O
0.333 0.667 0.009 O
0.351 0.176 0.677 O
0.649 0.824 0.323 O
0.667 0.333 0.991 O
0.824 0.176 0.677 O
0.824 0.649 0.677 O
```

=====

[2]
## Rb3Ca3ReO8 (PBE)

Data for Rb3Ca3ReO8 after structural relaxation.

Calculated values
M_tot (μB per formula unit): 0.00
Space-group type: No. 166
Formation energy without anion corrections (eV per atom): -2.139
Density (Mg/m³): 4.25

The structure in POSCAR format:
```
Rb3Ca3ReO8
1.0
3.457 1.996 6.522
-3.457 1.996 6.522
0.000 -3.992 6.522
Rb Ca Re O
3 3 1 8
direct
0.000 0.500 0.500 Rb
0.500 0.000 0.500 Rb
0.500 0.500 0.000 Rb
0.000 0.000 0.500 Ca
0.000 0.500 0.000 Ca
0.500 0.000 0.000 Ca
0.500 0.500 0.500 Re
0.224 0.224 0.224 O
0.289 0.688 0.688 O
0.312 0.312 0.711 O
0.312 0.711 0.312 O
0.688 0.289 0.688 O
0.688 0.688 0.289 O
0.711 0.312 0.312 O
0.776 0.776 0.776 O
```

=====

[3]
## Rb2Ca2RhO6 (PBE)

Data for Rb2Ca2RhO6 after structural relaxation.

Calculated values
Fermi-level density of states (states/eV/atom): 0.112
M_tot (μB per formula unit): 2.98
Space-group type: No. 12
Formation energy without anion corrections (eV per atom): -1.657
Density (Mg/m³): 3.91

The structure in POSCAR format:
```
Rb2Ca2RhO6
1.0
2.935 -4.962 0.000
2.935 4.962 0.000
-1.902 0.000 6.553
Rb Ca Rh O
2 2 1 6
direct
0.169 0.831 0.000 Rb
0.831 0.169 0.000 Rb
0.336 0.664 0.500 Ca
0.664 0.336 0.500 Ca
0.000 0.000 0.500 Rh
0.052 0.342 0.668 O
0.226 0.226 0.329 O
0.342 0.052 0.668 O
0.658 0.948 0.332 O
0.774 0.774 0.671 O
0.948 0.658 0.332 O
```

=====

[4]
## Rb2CaRhO4 (PBE)

Data for Rb2CaRhO4 after structural relaxation.

Calculated values
M_tot (μB per formula unit): 2.99
Space-group type: No. 70
Formation energy without anion corrections (eV per atom): -1.267
Density (Mg/m³): 2.64

The structure in POSCAR format:
```
Rb2CaRhO4
1.0
0.000 6.898 11.230
3.071 0.000 11.230
3.071 6.898 0.000
Rb Ca Rh O
4 2 2 8
direct
0.066 0.066 0.684 Rb
0.316 0.316 0.934 Rb
0.684 0.684 0.066 Rb
0.934 0.934 0.316 Rb
0.125 0.125 0.125 Ca
0.875 0.875 0.875 Ca
0.375 0.375 0.375 Rh
0.625 0.625 0.625 Rh
0.042 0.680 0.511 O
0.267 0.511 0.680 O
0.320 0.958 0.733 O
0.489 0.733 0.958 O
0.511 0.267 0.042 O
0.680 0.042 0.267 O
0.733 0.489 0.320 O
0.958 0.320 0.489 O
```